Entry 1:
# NdAl2AgPd

A relaxed structure of NdAl2AgPd (GGA-PBE, OQMD via LeMat-Bulk).

E_tot: -4.640 eV per atom
theoretical density: 6829 kg/m³
total moment: 0.023 Bohr magnetons per cell

Cell: 4.3692 4.3692 10.5074 Å, 90.00 90.00 90.00°
Positions (direct):
Al 0.0000 0.5000 0.1175
Al 0.5000 0.0000 0.8825
Al 0.5000 0.5000 0.5000
Al 0.0000 0.0000 0.5000
Pd 0.5000 0.5000 0.0000
Pd 0.0000 0.0000 0.0000
Ag 0.5000 0.0000 0.6390
Ag 0.0000 0.5000 0.3610
Nd 0.5000 0.0000 0.2430
Nd 0.0000 0.5000 0.7570

Entry 2:
# PrGaMo

A relaxed structure of PrGaMo (GGA-PBE, OQMD via LeMat-Bulk).

E_tot: -5.765 eV per atom
theoretical density: 7075 kg/m³
total moment: 1.153 Bohr magnetons per cell
E above lowest polymorph: 0.0000 eV/atom

Cell: 4.6685 4.6685 4.6685 Å, 60.00 60.00 60.00°
Site moments in Bohr magnetons follow the coordinates.
Positions (direct):
Pr 0.7500 0.7500 0.7500  -0.06
Mo 0.2500 0.2500 0.2500  1.16
Ga 0.0000 0.0000 0.0000  -0.06

Entry 3:
# Th4PaC5

A relaxed structure of Th4PaC5 (GGA-PBE, OQMD via LeMat-Bulk).

E_tot: -8.843 eV per atom
theoretical density: 10920 kg/m³
total moment: 0.004 Bohr magnetons per cell

Cell: 6.4867 6.4867 6.4867 Å, 99.54 99.54 131.96°
Positions (direct):
C 0.7205 0.0961 0.8144
C 0.0961 0.2818 0.3757
C 0.5001 0.5001 0.0000
C 0.9061 0.7205 0.6243
C 0.2818 0.9061 0.1856
Th 0.8004 0.4000 0.1982
Th 0.4000 0.2018 0.5996
Th 0.2018 0.6022 0.8018
Th 0.6022 0.8004 0.4004
Pa 0.0014 0.0014 0.0000